DFT (GGA-PBE) results for an optimized crystal structure of CoMoAs2.

Geometry as POSCAR:
```
CoMoAs2
1.0
4.253 0.000 0.000
0.000 4.253 0.000
0.000 0.000 3.149
As Co Mo
2 1 1
Direct
0.000 0.000 0.000
0.500 0.500 0.000
0.500 0.000 0.500
0.000 0.500 0.500
```

Properties
Formation energy   0.04 eV/atom
Volume   14.24 Å³/atom